1.
First-principles (PBE) data for an optimized crystal structure of NaAl6, as listed in Alexandria.

The structure in POSCAR format:
```
NaAl6
1.0
6.392 0.000 0.000
-2.131 6.027 0.000
-2.131 -3.013 5.219
Na Al
1 6
direct
0.000 0.000 0.000
0.250 0.750 0.500
0.500 0.750 0.250
0.250 0.500 0.750
0.750 0.250 0.500
0.500 0.250 0.750
0.750 0.500 0.250
```

## Properties
Theoretical density = 1.53 g cm⁻³
Space group = Im-3m (229)
E_tot = -20.21 eV/f.u.



2.
First-principles (PBE) data for an optimized crystal structure of Na2Si7Rh12, as listed in Alexandria.

The structure in POSCAR format:
```
Na2Si7Rh12
1.0
3.864 0.000 0.000
0.000 8.358 -4.826
0.000 0.000 9.651
Na Si Rh
2 7 12
direct
0.500 0.000 0.000
0.000 0.667 0.333
0.000 0.333 0.667
0.000 0.038 0.777
0.000 0.738 0.962
0.000 0.223 0.262
0.500 0.625 0.560
0.500 0.935 0.375
0.500 0.440 0.065
0.500 0.893 0.613
0.500 0.720 0.107
0.500 0.387 0.280
0.500 0.238 0.786
0.500 0.548 0.762
0.500 0.214 0.452
0.000 0.056 0.543
0.000 0.488 0.944
0.000 0.457 0.512
0.000 0.771 0.735
0.000 0.964 0.229
0.000 0.265 0.036
```

## Properties
Uncorrected formation energy = -14.83 eV/f.u.
Theoretical density = 7.87 g cm⁻³
Space group = P-6 (174)
E_tot = -143.65 eV/f.u.



3.
First-principles (PBE) data for an optimized crystal structure of Sr3Ca2, as listed in Alexandria.

The structure in POSCAR format:
```
Sr3Ca2
1.0
4.017 0.000 0.000
0.000 10.193 -0.578
0.000 -4.322 12.444
Sr Ca
6 4
direct
0.250 0.304 0.468
0.750 0.696 0.532
0.250 0.927 0.842
0.750 0.073 0.158
0.750 0.528 0.764
0.250 0.472 0.236
0.250 0.895 0.360
0.750 0.105 0.640
0.250 0.688 0.047
0.750 0.312 0.953
```

## Properties
Theoretical density = 2.28 g cm⁻³
Space group = P2_1/m (11)
Energy above the lowest structure with this stoichiometry = 0.098 eV/f.u.
E_tot = -8.79 eV/f.u.



4.
First-principles (PBE) data for an optimized crystal structure of TlIn4Au2, as listed in Alexandria.

The structure in POSCAR format:
```
TlIn4Au2
1.0
-4.244 1.491 1.010
0.158 -3.886 6.401
7.880 15.985 9.510
Tl Au In
4 8 16
direct
0.750 0.982 0.638
0.250 0.018 0.362
0.250 0.482 0.862
0.750 0.518 0.138
0.250 0.735 0.540
0.750 0.265 0.460
0.750 0.235 0.960
0.250 0.765 0.040
0.250 0.980 0.784
0.750 0.020 0.216
0.750 0.480 0.716
0.250 0.520 0.284
0.250 0.264 0.688
0.750 0.736 0.312
0.750 0.764 0.812
0.250 0.236 0.188
0.250 0.698 0.685
0.750 0.302 0.315
0.750 0.198 0.815
0.250 0.802 0.185
0.250 0.143 0.535
0.750 0.857 0.465
0.750 0.643 0.965
0.250 0.357 0.035
0.250 0.497 0.427
0.750 0.503 0.573
0.750 0.997 0.073
0.250 0.003 0.927
```

## Properties
Theoretical density = 10.07 g cm⁻³
Space group = Pnma (62)
E_tot = -20.85 eV/f.u.